## PdRhS2Cl (GGA-PBE)

Data for an optimized crystal structure of PdRhS2Cl. Values from VASP.

Cell and atoms, written as Quantum ESPRESSO input:
```
&SYSTEM
  ibrav = 0, nat = 5, ntyp = 4
/
ATOMIC_SPECIES
S 32.06 S.upf
Cl 35.45 Cl.upf
Pd 106.42 Pd.upf
Rh 102.91 Rh.upf
ATOMIC_POSITIONS angstrom
S -1.103 0.348 -1.983
S -0.082 2.252 0.440
Cl -2.119 -0.297 1.127
Pd -3.304 2.302 -0.416
Rh 0.000 0.000 0.000
CELL_PARAMETERS angstrom
-0.163 4.503 0.880
-2.206 0.695 -3.966
-4.239 -0.594 2.253
```

The value obtained for the uncorrected formation energy is 48 kJ/mol of atoms. For the volume, the calculation gives 20.4 Å³/atom. For the energy above the most stable polymorph in this dataset, the calculation gives 0 meV per atom.